Compound: CsZn2Ga
Source: Alexandria
Functional: PBE
Structure: relaxed Values from VASP.

Summary:
**Calculated formation energy**: 75 meV/atom
**Crystal system**: tetragonal
**Space-group type**: I4_1/amd, No. 141

```
&SYSTEM
  ibrav = 0, nat = 8, ntyp = 3
/
ATOMIC_SPECIES
Cs 132.91 Cs.upf
Zn 65.41 Zn.upf
Ga 69.72 Ga.upf
ATOMIC_POSITIONS angstrom
Cs 3.114 1.557 1.867
Cs 0.000 1.557 5.600
Zn 0.000 0.000 0.000
Zn 1.557 1.557 -3.733
Zn 1.557 -1.557 3.733
Zn 0.000 3.114 0.000
Ga 3.114 -1.557 5.600
Ga 0.000 4.671 1.867
CELL_PARAMETERS angstrom
-3.114 3.114 7.467
3.114 -3.114 7.467
3.114 3.114 -7.467
```